Entry from Alexandria via LeMat-Bulk: a geometry-optimized TlInAg2 structure (PBE).

Lattice parameters (Å, degrees): 3.2567 4.1832 6.5509 90.00 90.00 90.00
Element x y z (fractional)
Tl (0.5000, 0.5000, 0.7500)
Ag (0.0000, 0.0000, 0.0166)
Ag (0.0000, 0.0000, 0.4834)
In (0.5000, 0.5000, 0.2500)

Summary:
Total DFT energy (no corrections): -10.42 eV for the cell shown
Total magnetization: 0.000 μB per cell
Density of states at the Fermi level: 1.6 states/eV per cell
Space group: Pmmm (47)